VASP calculation (PBE-GGA) on a relaxed structure of Y6Tl2Pd.

The structure in POSCAR format:
```
Y6Tl2Pd
1.0
8.743 0.000 0.000
-4.371 7.571 0.000
0.000 0.000 3.863
Y Tl Pd
6 2 1
direct
0.000 0.400 0.000
0.000 0.753 0.500
0.247 0.247 0.500
0.400 0.000 0.000
0.600 0.600 0.000
0.753 0.000 0.500
0.333 0.667 0.500
0.667 0.333 0.500
0.000 0.000 0.000
```

Summary:
Formation enthalpy at 0 K: -399.6 meV per atom
E: -52.31 eV for the cell shown
Space group: P-62m (189)
Magnetic moment: 2.67 μB/f.u.
Polymorph energy (0 for the lowest one): 0.00 eV/f.u.
Calculated density: 6.8 g/cm3